Record 1
Ti2GaReH after structural relaxation. Source: the Alexandria database, functional GGA-PBE.

a = 4.1708 Å, b = 4.1708 Å, c = 3.6857 Å
α = 90.00°, β = 90.00°, γ = 90.00°
Positions (direct):
Ti (0.0000, 0.5000, 0.0000)
Ti (0.5000, 0.0000, 0.0000)
Ga (0.0000, 0.0000, 0.5000)
Re (0.5000, 0.5000, 0.5000)
H (0.5000, 0.5000, 0.0000)

Computed properties:
* SG: No. 123
* excess energy over the best structure of this formula in the dataset: 0.000 eV per atom
* uncorrected energy: -7.25 eV per atom

***

Record 2
Ti2GaReH after structural relaxation. Source: the Alexandria database, functional GGA-PBE.

a = 4.8646 Å, b = 4.8646 Å, c = 3.1248 Å
α = 90.00°, β = 90.00°, γ = 90.00°
Positions (direct):
Ti (0.0000, 0.5000, 0.0000)
Ti (0.5000, 0.0000, 0.0000)
Ga (0.0000, 0.0000, 0.0000)
Re (0.5000, 0.5000, 0.5000)
H (0.0000, 0.0000, 0.5000)

Computed properties:
* SG: No. 123
* excess energy over the best structure of this formula in the dataset: 1.031 eV per atom
* uncorrected energy: -6.22 eV per atom

***

Record 3
V2GaReH after structural relaxation. Source: the Alexandria database, functional GGA-PBE.

a = 3.8680 Å, b = 3.8680 Å, c = 3.8905 Å
α = 90.00°, β = 90.00°, γ = 90.00°
Positions (direct):
V (0.0000, 0.5000, 0.0000)
V (0.5000, 0.0000, 0.0000)
Ga (0.0000, 0.0000, 0.5000)
Re (0.5000, 0.5000, 0.5000)
H (0.5000, 0.5000, 0.0000)

Computed properties:
* SG: No. 123
* uncorrected energy: -7.51 eV per atom

***

Record 4
ZnGaRe2H after structural relaxation. Source: the Alexandria database, functional GGA-PBE.

a = 3.8664 Å, b = 3.8664 Å, c = 4.2073 Å
α = 90.00°, β = 90.00°, γ = 90.00°
Positions (direct):
Zn (0.0000, 0.0000, 0.0000)
Ga (0.5000, 0.5000, 0.0000)
Re (0.0000, 0.5000, 0.5000)
Re (0.5000, 0.0000, 0.5000)
H (0.5000, 0.5000, 0.5000)

Computed properties:
* SG: No. 123
* excess energy over the best structure of this formula in the dataset: 0.000 eV per atom
* uncorrected energy: -5.98 eV per atom

***

Record 5
ZnGaRe2H after structural relaxation. Source: the Alexandria database, functional GGA-PBE.

a = 4.9297 Å, b = 4.9297 Å, c = 2.8956 Å
α = 90.00°, β = 90.00°, γ = 90.00°
Positions (direct):
Zn (0.0000, 0.0000, 0.0000)
Ga (0.5000, 0.5000, 0.5000)
Re (0.0000, 0.5000, 0.5000)
Re (0.5000, 0.0000, 0.5000)
H (0.5000, 0.5000, 0.0000)

Computed properties:
* SG: No. 123
* excess energy over the best structure of this formula in the dataset: 0.843 eV per atom
* uncorrected energy: -5.14 eV per atom

***

Record 6
GaHRh2 after structural relaxation. Source: the Alexandria database, functional GGA-PBE.

a = 5.8839 Å, b = 5.8839 Å, c = 5.3961 Å
α = 90.00°, β = 90.00°, γ = 90.00°
Positions (direct):
Ga (0.0000, 0.0000, 0.0000)
Ga (0.0000, 0.5000, 0.2500)
Ga (0.5000, 0.0000, 0.7500)
Ga (0.5000, 0.5000, 0.5000)
H (0.0000, 0.0000, 0.5000)
H (0.0000, 0.5000, 0.7500)
H (0.5000, 0.0000, 0.2500)
H (0.5000, 0.5000, 0.0000)
Rh (0.1612, 0.2500, 0.6250)
Rh (0.2500, 0.6612, 0.8750)
Rh (0.2500, 0.8388, 0.3750)
Rh (0.3388, 0.2500, 0.1250)
Rh (0.6612, 0.7500, 0.1250)
Rh (0.7500, 0.1612, 0.3750)
Rh (0.7500, 0.3388, 0.8750)
Rh (0.8388, 0.7500, 0.6250)

Computed properties:
* SG: No. 122
* excess energy over the best structure of this formula in the dataset: 0.045 eV per atom
* uncorrected energy: -5.51 eV per atom

***

Record 7
GaHRh2 after structural relaxation. Source: the Alexandria database, functional GGA-PBE.

a = 2.8788 Å, b = 2.8788 Å, c = 18.9595 Å
α = 90.00°, β = 90.00°, γ = 120.00°
Positions (direct):
Ga (0.0000, 0.0000, 0.0000)
Ga (0.3333, 0.6667, 0.6667)
Ga (0.6667, 0.3333, 0.3333)
H (0.0000, 0.0000, 0.5000)
H (0.3333, 0.6667, 0.1667)
H (0.6667, 0.3333, 0.8333)
Rh (0.0000, 0.0000, 0.2298)
Rh (0.0000, 0.0000, 0.7702)
Rh (0.3333, 0.6667, 0.4369)
Rh (0.3333, 0.6667, 0.8964)
Rh (0.6667, 0.3333, 0.1036)
Rh (0.6667, 0.3333, 0.5631)

Computed properties:
* SG: No. 166
* excess energy over the best structure of this formula in the dataset: 0.001 eV per atom
* uncorrected energy: -5.55 eV per atom

***

Record 8
GaH2Rh after structural relaxation. Source: the Alexandria database, functional GGA-PBE.

a = 2.8549 Å, b = 2.8549 Å, c = 18.1005 Å
α = 90.00°, β = 90.00°, γ = 120.00°
Positions (direct):
Ga (0.0000, 0.0000, 0.0000)
Ga (0.3333, 0.6667, 0.6667)
Ga (0.6667, 0.3333, 0.3333)
H (0.0000, 0.0000, 0.1227)
H (0.0000, 0.0000, 0.8773)
H (0.3333, 0.6667, 0.5440)
H (0.3333, 0.6667, 0.7893)
H (0.6667, 0.3333, 0.2107)
H (0.6667, 0.3333, 0.4560)
Rh (0.0000, 0.0000, 0.5000)
Rh (0.3333, 0.6667, 0.1667)
Rh (0.6667, 0.3333, 0.8333)

Computed properties:
* SG: No. 166
* excess energy over the best structure of this formula in the dataset: 0.000 eV per atom
* uncorrected energy: -4.23 eV per atom

***

Record 9
GaHRh2 after structural relaxation. Source: the Alexandria database, functional GGA-PBE.

a = 2.8733 Å, b = 2.9426 Å, c = 5.7206 Å
α = 90.00°, β = 90.00°, γ = 90.00°
Positions (direct):
Ga (0.0000, 0.0000, 0.0000)
H (0.0000, 0.5000, 0.5000)
Rh (0.5000, 0.5000, 0.2686)
Rh (0.5000, 0.5000, 0.7314)

Computed properties:
* SG: No. 47
* excess energy over the best structure of this formula in the dataset: 0.052 eV per atom
* uncorrected energy: -5.50 eV per atom

***

Record 10
GaHRh after structural relaxation. Source: the Alexandria database, functional GGA-PBE.

a = 3.3921 Å, b = 3.3921 Å, c = 28.6169 Å
α = 90.00°, β = 90.00°, γ = 90.00°
Positions (direct):
Ga (0.2014, 0.2630, 0.1821)
Ga (0.2014, 0.7370, 0.3179)
Ga (0.2630, 0.2014, 0.5679)
Ga (0.2630, 0.7986, 0.9321)
Ga (0.7370, 0.2014, 0.4321)
Ga (0.7370, 0.7986, 0.0679)
Ga (0.7986, 0.2630, 0.8179)
Ga (0.7986, 0.7370, 0.6821)
H (0.2195, 0.2850, 0.0313)
H (0.2195, 0.7150, 0.4687)
H (0.2850, 0.2195, 0.7187)
H (0.2850, 0.7805, 0.7813)
H (0.7150, 0.2195, 0.2813)
H (0.7150, 0.7805, 0.2187)
H (0.7805, 0.2850, 0.9687)
H (0.7805, 0.7150, 0.5313)
Rh (0.2373, 0.2987, 0.0874)
Rh (0.2373, 0.7013, 0.4126)
Rh (0.2987, 0.2373, 0.6626)
Rh (0.2987, 0.7627, 0.8374)
Rh (0.7013, 0.2373, 0.3374)
Rh (0.7013, 0.7627, 0.1626)
Rh (0.7627, 0.2987, 0.9126)
Rh (0.7627, 0.7013, 0.5874)

Computed properties:
* SG: No. 91
* excess energy over the best structure of this formula in the dataset: 0.178 eV per atom
* uncorrected energy: -4.72 eV per atom

***

Record 11
GaHRh2 after structural relaxation. Source: the Alexandria database, functional GGA-PBE.

a = 2.8799 Å, b = 2.8799 Å, c = 18.9666 Å
α = 90.00°, β = 90.00°, γ = 120.00°
Positions (direct):
Ga (0.0000, 0.0000, 0.0000)
Ga (0.3333, 0.6667, 0.6667)
Ga (0.6667, 0.3333, 0.3333)
H (0.0000, 0.0000, 0.1709)
H (0.3333, 0.6667, 0.8376)
H (0.6667, 0.3333, 0.5042)
Rh (0.0000, 0.0000, 0.5631)
Rh (0.0000, 0.0000, 0.7693)
Rh (0.3333, 0.6667, 0.2298)
Rh (0.3333, 0.6667, 0.4360)
Rh (0.6667, 0.3333, 0.1027)
Rh (0.6667, 0.3333, 0.8965)

Computed properties:
* SG: No. 160
* excess energy over the best structure of this formula in the dataset: 0.000 eV per atom
* uncorrected energy: -5.56 eV per atom

***

Record 12
GaH3Rh after structural relaxation. Source: the Alexandria database, functional GGA-PBE.

a = 3.5597 Å, b = 3.5597 Å, c = 3.5597 Å
α = 90.00°, β = 90.00°, γ = 90.00°
Positions (direct):
Ga (0.0000, 0.0000, 0.0000)
H (0.0000, 0.5000, 0.5000)
H (0.5000, 0.0000, 0.5000)
H (0.5000, 0.5000, 0.0000)
Rh (0.5000, 0.5000, 0.5000)

Computed properties:
* SG: No. 221
* excess energy over the best structure of this formula in the dataset: 0.000 eV per atom
* uncorrected energy: -3.98 eV per atom

***

Record 13
Ga2H6Rh after structural relaxation. Source: the Alexandria database, functional GGA-PBE.

a = 4.8296 Å, b = 4.8296 Å, c = 4.8296 Å
α = 60.00°, β = 60.00°, γ = 60.00°
Positions (direct):
Ga (0.2500, 0.2500, 0.2500)
Ga (0.7500, 0.7500, 0.7500)
H (0.2504, 0.2504, 0.7496)
H (0.2504, 0.7496, 0.2504)
H (0.2504, 0.7496, 0.7496)
H (0.7496, 0.2504, 0.2504)
H (0.7496, 0.2504, 0.7496)
H (0.7496, 0.7496, 0.2504)
Rh (0.0000, 0.0000, 0.0000)

Computed properties:
* SG: No. 225
* uncorrected energy: -3.51 eV per atom

***

Record 14
GaHRh2 after structural relaxation. Source: the Alexandria database, functional GGA-PBE.

a = 5.7921 Å, b = 5.7921 Å, c = 5.7921 Å
α = 90.00°, β = 90.00°, γ = 90.00°
Positions (direct):
Ga (0.0000, 0.0000, 0.0000)
Ga (0.0000, 0.5000, 0.5000)
Ga (0.5000, 0.0000, 0.5000)
Ga (0.5000, 0.5000, 0.0000)
H (0.0000, 0.0000, 0.5000)
H (0.0000, 0.5000, 0.0000)
H (0.5000, 0.0000, 0.0000)
H (0.5000, 0.5000, 0.5000)
Rh (0.2500, 0.2500, 0.2500)
Rh (0.2500, 0.2500, 0.7500)
Rh (0.2500, 0.7500, 0.2500)
Rh (0.2500, 0.7500, 0.7500)
Rh (0.7500, 0.2500, 0.2500)
Rh (0.7500, 0.2500, 0.7500)
Rh (0.7500, 0.7500, 0.2500)
Rh (0.7500, 0.7500, 0.7500)

Computed properties:
* SG: No. 225
* excess energy over the best structure of this formula in the dataset: 0.355 eV per atom
* uncorrected energy: -5.20 eV per atom

***

Record 15
Ga3H5Rh12 after structural relaxation. Source: the Alexandria database, functional GGA-PBE.

a = 10.7573 Å, b = 10.7573 Å, c = 10.7573 Å
α = 109.47°, β = 109.47°, γ = 109.47°
Positions (direct):
Ga (0.1250, 0.2500, 0.3750)
Ga (0.1250, 0.3750, 0.7500)
Ga (0.2500, 0.3750, 0.1250)
Ga (0.2500, 0.8750, 0.6250)
Ga (0.3750, 0.1250, 0.2500)
Ga (0.3750, 0.7500, 0.1250)
Ga (0.6250, 0.2500, 0.8750)
Ga (0.6250, 0.8750, 0.7500)
Ga (0.7500, 0.1250, 0.3750)
Ga (0.7500, 0.6250, 0.8750)
Ga (0.8750, 0.6250, 0.2500)
Ga (0.8750, 0.7500, 0.6250)
H (0.0000, 0.0000, 0.0000)
H (0.0000, 0.0000, 0.5000)
H (0.0000, 0.5000, 0.0000)
H (0.0000, 0.5000, 0.5000)
H (0.1250, 0.7500, 0.8750)
H (0.1250, 0.8750, 0.2500)
H (0.2500, 0.1250, 0.8750)
H (0.2500, 0.6250, 0.3750)
H (0.3750, 0.2500, 0.6250)
H (0.3750, 0.6250, 0.7500)
H (0.5000, 0.0000, 0.0000)
H (0.5000, 0.0000, 0.5000)
H (0.5000, 0.5000, 0.0000)
H (0.5000, 0.5000, 0.5000)
H (0.6250, 0.3750, 0.2500)
H (0.6250, 0.7500, 0.3750)
H (0.7500, 0.3750, 0.6250)
H (0.7500, 0.8750, 0.1250)
H (0.8750, 0.1250, 0.7500)
H (0.8750, 0.2500, 0.1250)
Rh (0.0118, 0.1990, 0.1068)
Rh (0.0118, 0.3128, 0.9050)
Rh (0.0922, 0.6990, 0.6872)
Rh (0.0922, 0.8932, 0.4050)
Rh (0.0950, 0.6068, 0.4078)
Rh (0.0950, 0.9882, 0.6872)
Rh (0.1068, 0.0118, 0.1990)
Rh (0.1068, 0.5950, 0.9078)
Rh (0.1872, 0.1990, 0.5922)
Rh (0.1872, 0.4882, 0.5950)
Rh (0.1990, 0.1068, 0.0118)
Rh (0.1990, 0.5922, 0.1872)
Rh (0.3010, 0.3128, 0.9078)
Rh (0.3010, 0.4882, 0.3932)
Rh (0.3128, 0.9050, 0.0118)
Rh (0.3128, 0.9078, 0.3010)
Rh (0.3932, 0.3010, 0.4882)
Rh (0.3932, 0.5922, 0.9050)
Rh (0.4050, 0.0922, 0.8932)
Rh (0.4050, 0.8128, 0.5118)
Rh (0.4078, 0.0950, 0.6068)
Rh (0.4078, 0.8128, 0.8010)
Rh (0.4882, 0.3932, 0.3010)
Rh (0.4882, 0.5950, 0.1872)
Rh (0.5118, 0.4050, 0.8128)
Rh (0.5118, 0.6068, 0.6990)
Rh (0.5922, 0.1872, 0.1990)
Rh (0.5922, 0.9050, 0.3932)
Rh (0.5950, 0.1872, 0.4882)
Rh (0.5950, 0.9078, 0.1068)
Rh (0.6068, 0.4078, 0.0950)
Rh (0.6068, 0.6990, 0.5118)
Rh (0.6872, 0.0922, 0.6990)
Rh (0.6872, 0.0950, 0.9882)
Rh (0.6990, 0.5118, 0.6068)
Rh (0.6990, 0.6872, 0.0922)
Rh (0.8010, 0.4078, 0.8128)
Rh (0.8010, 0.8932, 0.9882)
Rh (0.8128, 0.5118, 0.4050)
Rh (0.8128, 0.8010, 0.4078)
Rh (0.8932, 0.4050, 0.0922)
Rh (0.8932, 0.9882, 0.8010)
Rh (0.9050, 0.0118, 0.3128)
Rh (0.9050, 0.3932, 0.5922)
Rh (0.9078, 0.1068, 0.5950)
Rh (0.9078, 0.3010, 0.3128)
Rh (0.9882, 0.6872, 0.0950)
Rh (0.9882, 0.8010, 0.8932)

Computed properties:
* SG: No. 230
* uncorrected energy: -5.75 eV per atom

***

Record 16
Ga3HRh4 after structural relaxation. Source: the Alexandria database, functional GGA-PBE.

a = 2.9879 Å, b = 4.3687 Å, c = 7.9739 Å
α = 90.00°, β = 90.00°, γ = 90.00°
Positions (direct):
Ga (0.0000, 0.0000, 0.0000)
Ga (0.0000, 0.5000, 0.2566)
Ga (0.0000, 0.5000, 0.7434)
H (0.0000, 0.0000, 0.5000)
Rh (0.5000, 0.0000, 0.2800)
Rh (0.5000, 0.0000, 0.7200)
Rh (0.5000, 0.5000, 0.0000)
Rh (0.5000, 0.5000, 0.5000)

Computed properties:
* SG: No. 47
* uncorrected energy: -5.55 eV per atom

***

Record 17
GaHRh2 after structural relaxation. Source: the Alexandria database, functional GGA-PBE.

a = 2.9050 Å, b = 5.1426 Å, c = 6.7633 Å
α = 74.61°, β = 78.00°, γ = 73.98°
Positions (direct):
Ga (0.1454, 0.3883, 0.3201)
Ga (0.8546, 0.6117, 0.6799)
H (0.4564, 0.1762, 0.8912)
H (0.5436, 0.8238, 0.1088)
Rh (0.1461, 0.7432, 0.9731)
Rh (0.3936, 0.8396, 0.3704)
Rh (0.6064, 0.1604, 0.6296)
Rh (0.8539, 0.2568, 0.0269)

Computed properties:
* SG: No. 2
* excess energy over the best structure of this formula in the dataset: 0.036 eV per atom
* uncorrected energy: -5.52 eV per atom

***

Record 18
Ga3H12Rh5 after structural relaxation. Source: the Alexandria database, functional GGA-PBE.

a = 9.6695 Å, b = 9.6695 Å, c = 9.6695 Å
α = 109.47°, β = 109.47°, γ = 109.47°
Positions (direct):
Ga (0.1250, 0.2500, 0.3750)
Ga (0.1250, 0.3750, 0.7500)
Ga (0.2500, 0.3750, 0.1250)
Ga (0.2500, 0.8750, 0.6250)
Ga (0.3750, 0.1250, 0.2500)
Ga (0.3750, 0.7500, 0.1250)
Ga (0.6250, 0.2500, 0.8750)
Ga (0.6250, 0.8750, 0.7500)
Ga (0.7500, 0.1250, 0.3750)
Ga (0.7500, 0.6250, 0.8750)
Ga (0.8750, 0.6250, 0.2500)
Ga (0.8750, 0.7500, 0.6250)
H (0.0147, 0.1981, 0.0880)
H (0.0147, 0.3166, 0.9267)
H (0.0733, 0.5880, 0.3899)
H (0.0733, 0.9853, 0.6834)
H (0.0880, 0.0147, 0.1981)
H (0.0880, 0.5733, 0.8899)
H (0.1101, 0.6981, 0.6834)
H (0.1101, 0.9120, 0.4267)
H (0.1834, 0.1981, 0.6101)
H (0.1834, 0.4853, 0.5733)
H (0.1981, 0.0880, 0.0147)
H (0.1981, 0.6101, 0.1834)
H (0.3019, 0.3166, 0.8899)
H (0.3019, 0.4853, 0.4120)
H (0.3166, 0.8899, 0.3019)
H (0.3166, 0.9267, 0.0147)
H (0.3899, 0.0733, 0.5880)
H (0.3899, 0.8166, 0.8019)
H (0.4120, 0.3019, 0.4853)
H (0.4120, 0.6101, 0.9267)
H (0.4267, 0.1101, 0.9120)
H (0.4267, 0.8166, 0.5147)
H (0.4853, 0.4120, 0.3019)
H (0.4853, 0.5733, 0.1834)
H (0.5147, 0.4267, 0.8166)
H (0.5147, 0.5880, 0.6981)
H (0.5733, 0.1834, 0.4853)
H (0.5733, 0.8899, 0.0880)
H (0.5880, 0.3899, 0.0733)
H (0.5880, 0.6981, 0.5147)
H (0.6101, 0.1834, 0.1981)
H (0.6101, 0.9267, 0.4120)
H (0.6834, 0.0733, 0.9853)
H (0.6834, 0.1101, 0.6981)
H (0.6981, 0.5147, 0.5880)
H (0.6981, 0.6834, 0.1101)
H (0.8019, 0.3899, 0.8166)
H (0.8019, 0.9120, 0.9853)
H (0.8166, 0.5147, 0.4267)
H (0.8166, 0.8019, 0.3899)
H (0.8899, 0.0880, 0.5733)
H (0.8899, 0.3019, 0.3166)
H (0.9120, 0.4267, 0.1101)
H (0.9120, 0.9853, 0.8019)
H (0.9267, 0.0147, 0.3166)
H (0.9267, 0.4120, 0.6101)
H (0.9853, 0.6834, 0.0733)
H (0.9853, 0.8019, 0.9120)
Rh (0.0000, 0.0000, 0.0000)
Rh (0.0000, 0.0000, 0.5000)
Rh (0.0000, 0.5000, 0.0000)
Rh (0.0000, 0.5000, 0.5000)
Rh (0.1250, 0.7500, 0.8750)
Rh (0.1250, 0.8750, 0.2500)
Rh (0.2500, 0.1250, 0.8750)
Rh (0.2500, 0.6250, 0.3750)
Rh (0.3750, 0.2500, 0.6250)
Rh (0.3750, 0.6250, 0.7500)
Rh (0.5000, 0.0000, 0.0000)
Rh (0.5000, 0.0000, 0.5000)
Rh (0.5000, 0.5000, 0.0000)
Rh (0.5000, 0.5000, 0.5000)
Rh (0.6250, 0.3750, 0.2500)
Rh (0.6250, 0.7500, 0.3750)
Rh (0.7500, 0.3750, 0.6250)
Rh (0.7500, 0.8750, 0.1250)
Rh (0.8750, 0.1250, 0.7500)
Rh (0.8750, 0.2500, 0.1250)

Computed properties:
* SG: No. 230
* uncorrected energy: -4.19 eV per atom